A relaxed structure of LaBPtO5, computed with PBE-GGA.

a = 6.4780 Å, b = 8.8772 Å, c = 7.0103 Å
α = 90.00°, β = 113.79°, γ = 90.00°
With the nearest neighbours (Å) after each atom.
Space group C2/c (No. 15)
Symmetry-distinct sites (fractional):
La  0.0000  0.1456  0.2500 [4 per cell]  5 O 2.27-2.44
B  0.0000  0.1976  0.7500 [4 per cell]  4 O 1.48-1.56
Pt  0.0000  0.5000  0.0000 [4 per cell]  6 O 1.96-2.13
O  0.0000  0.4015  0.2500 [4 per cell]  2 Pt 1.96
O  0.1036  0.2865  0.6339 [8 per cell]  1 B 1.48
O  0.1689  0.0889  0.9147 [8 per cell]  1 B 1.56

Properties
Calculated volume (Å³ per cell): 368.9
Total magnetization (μB per cell): 0.00

A relaxed structure of CeCoSiOs, computed with PBE-GGA.

a = 4.3697 Å, b = 3.1268 Å, c = 9.9616 Å
α = 90.00°, β = 90.00°, γ = 90.00°
With the nearest neighbours (Å) after each atom.
Space group Amm2 (No. 38)
Symmetry-distinct sites (fractional):
Ce  0.0000  0.0000  0.0000 [2 per cell]  1 Os 2.50
Co  0.5000  0.0000  0.3073 [2 per cell]  2 Si 2.31
Si  0.5000  0.0000  0.6370 [2 per cell]  2 Co 2.31, 2 Os 2.46
Os  0.0000  0.0000  0.7495 [2 per cell]  2 Si 2.46, 1 Ce 2.50, 4 Co 2.75

Properties
Calculated volume (Å³ per cell): 136.1
Total magnetization (μB per cell): 1.72

A relaxed structure of AcScBiSe, computed with PBE-GGA.

a = 5.0226 Å, b = 5.0226 Å, c = 10.3302 Å
α = 90.00°, β = 90.00°, γ = 90.00°
With the nearest neighbours (Å) after each atom.
Space group P4/nmm (No. 129, origin choice 2)
Symmetry-distinct sites (fractional):
Ac  0.2500  0.2500  0.1615 [2 per cell]  4 Se 3.01
Sc  0.2500  0.7500  0.5000 [2 per cell]  4 Bi 3.04
Bi  0.2500  0.2500  0.6654 [2 per cell]  4 Sc 3.04
Se  0.2500  0.7500  0.0000 [2 per cell]  4 Ac 3.01

Properties
Calculated volume (Å³ per cell): 260.6
Total magnetization (μB per cell): 1.07

Taking the records one at a time from the top gives electronic total energy values of -7.2890 -7.5482 -5.5497 eV per atom.
Taking the records one at a time from the top gives uncorrected formation energy values of -1984.4 -125.1 -1098.3 meV per atom.